Record 1
Here is a relaxed structure of Ba2CaCdNi from Alexandria. Energies are from GGA-PBE.

a b c (Å): 6.041 6.041 5.233
angles (deg): 90.00 90.00 90.00
Fractional positions:
Ba1 0.000 0.500 0.000
Ba2 0.500 0.000 0.000
Ca1 0.000 0.000 0.500
Cd1 0.500 0.500 0.500
Ni1 0.500 0.500 0.000

Summary:
The density comes out at 4.22 g/cm³. The calculation puts the density of states at the Fermi level at 4.972 states/eV/f.u. As for the space-group type: P4/mmm, No. 123. The value obtained for the distance to the lowest polymorph of the same formula is 67 meV per atom.

---

Record 2
Here is a relaxed structure of Sr2In5Pt3 from Alexandria. Energies are from GGA-PBE.

a b c (Å): 13.756 13.756 7.534
angles (deg): 90.00 90.00 160.63
Fractional positions:
Sr1 0.023 0.977 0.500
Sr2 0.324 0.676 0.571
Sr3 0.676 0.324 0.071
Sr4 0.977 0.023 0.000
In1 0.100 0.900 0.874
In2 0.207 0.793 0.376
In3 0.209 0.791 0.778
In4 0.374 0.626 0.027
In5 0.448 0.552 0.672
In6 0.552 0.448 0.172
In7 0.626 0.374 0.527
In8 0.791 0.209 0.278
In9 0.793 0.207 0.876
In10 0.900 0.100 0.374
Pt1 0.110 0.890 0.253
Pt2 0.271 0.729 0.080
Pt3 0.452 0.548 0.291
Pt4 0.548 0.452 0.791
Pt5 0.729 0.271 0.580
Pt6 0.890 0.110 0.753

Summary:
The density comes out at 9.38 g/cm³. The calculation puts the density of states at the Fermi level at 5.400 states/eV/f.u. As for the space-group type: Cmc2_1, No. 36. Its total energy is -41.57 eV per formula unit.

---

Record 3
Here is a relaxed structure of HfNbSb3 from Alexandria. Energies are from GGA-PBE.

a b c (Å): 5.301 5.301 5.301
angles (deg): 90.00 90.00 90.00
Fractional positions:
Hf1 0.000 0.000 0.000
Nb1 0.500 0.500 0.500
Sb1 0.000 0.500 0.500
Sb2 0.500 0.000 0.500
Sb3 0.500 0.500 0.000

Summary:
As for the uncorrected formation energy: 0.782 eV per atom. The density comes out at 7.10 g/cm³. The calculation puts the density of states at the Fermi level at 5.091 states/eV/f.u. As for the space-group type: Pm-3m, No. 221. The value obtained for the distance to the lowest polymorph of the same formula is 0 meV per atom.

---

Record 4
Here is a relaxed structure of CsBa2LaRh from Alexandria. Energies are from GGA-PBE.

a b c (Å): 6.628 6.628 5.485
angles (deg): 90.00 90.00 90.00
Fractional positions:
Cs1 0.000 0.000 0.000
Ba1 0.000 0.500 0.500
Ba2 0.500 0.000 0.500
La1 0.500 0.500 0.000
Rh1 0.500 0.500 0.500

Summary:
The density comes out at 4.48 g/cm³. The calculation puts the density of states at the Fermi level at 5.402 states/eV/f.u. As for the space-group type: P4/mmm, No. 123. Its total energy is -17.31 eV per formula unit.

---

Record 5
Here is a relaxed structure of TlNi2PtSe from Alexandria. Energies are from GGA-PBE.

a b c (Å): 4.752 4.752 5.064
angles (deg): 90.00 90.00 90.00
Fractional positions:
Tl1 0.000 0.000 0.000
Ni1 0.000 0.500 0.000
Ni2 0.500 0.000 0.000
Pt1 0.000 0.000 0.500
Se1 0.500 0.500 0.500

Summary:
As for the uncorrected formation energy: 1.319 eV per atom. The density comes out at 8.65 g/cm³. The calculation puts the density of states at the Fermi level at 5.226 states/eV/f.u. As for the space-group type: P4/mmm, No. 123.

---

Record 6
Here is a relaxed structure of TaSi3Ag from Alexandria. Energies are from GGA-PBE.

a b c (Å): 4.692 4.692 4.692
angles (deg): 90.00 90.00 90.00
Fractional positions:
Ta1 0.000 0.000 0.000
Si1 0.000 0.500 0.500
Si2 0.500 0.000 0.500
Si3 0.500 0.500 0.000
Ag1 0.500 0.500 0.500

Summary:
As for the uncorrected formation energy: 1.554 eV per atom. The density comes out at 6.00 g/cm³. The calculation puts the density of states at the Fermi level at 5.279 states/eV/f.u. As for the space-group type: Pm-3m, No. 221. The value obtained for the distance to the lowest polymorph of the same formula is 790 meV per atom.